Crystalline SrFe3Ge at its relaxed geometry, computed with PBE.

Results
**Magnetic moment**: 7.12 μB/cell
**Final energy**: -0.2984 Ry per atom
**Energy of formation from the pure elements**: 2.28 eV/atom

a b c (Å): 4.5830 4.5830 4.5830
angles (deg): 90.00 90.00 90.00
Space group Pm-3m (No. 221)
Unique sites:
Sr (0.0000, 0.0000, 0.0000) x1
Fe (0.0000, 0.0000, 0.5000) x3
Ge (0.5000, 0.5000, 0.5000) x1


Crystalline SrFe3Ge at its relaxed geometry, computed with PBE.

Results
**Magnetic moment**: 7.81 μB/cell
**Final energy**: -0.4236 Ry per atom
**Energy of formation from the pure elements**: 0.57 eV/atom

a b c (Å): 4.6586 4.6586 4.6586
angles (deg): 90.00 90.00 90.00
Space group Pm-3m (No. 221)
Unique sites:
Sr (0.0000, 0.0000, 0.0000) x1
Fe (0.0000, 0.5000, 0.5000) x3
Ge (0.5000, 0.5000, 0.5000) x1


Crystalline SrFeGe2 at its relaxed geometry, computed with PBE.

Results
**Magnetic moment**: 0.00 μB/cell
**Final energy**: -0.3342 Ry per atom
**Energy of formation from the pure elements**: 0.30 eV/atom

a b c (Å): 6.6975 6.6975 6.6975
angles (deg): 90.00 90.00 90.00
Space group Fm-3m (No. 225)
Unique sites:
Sr (0.0000, 0.0000, 0.0000) x4
Fe (0.0000, 0.0000, 0.5000) x4
Ge (0.2500, 0.2500, 0.2500) x8


Crystalline Sr2FeGe at its relaxed geometry, computed with PBE.

Results
**Magnetic moment**: 11.50 μB/cell
**Final energy**: -0.2651 Ry per atom
**Energy of formation from the pure elements**: 0.50 eV/atom

a b c (Å): 8.4816 8.4816 6.5894
angles (deg): 90.00 90.00 90.00
Space group I-42d (No. 122)
Unique sites:
Sr (0.2487, 0.7500, 0.1250) x8
Fe (0.0000, 0.0000, 0.0000) x4
Ge (0.0000, 0.0000, 0.5000) x4


Crystalline SrFeGe2 at its relaxed geometry, computed with PBE.

Results
**Magnetic moment**: 0.00 μB/cell
**Final energy**: -0.3686 Ry per atom
**Energy of formation from the pure elements**: -0.17 eV/atom

a b c (Å): 5.3516 5.3516 14.2247
angles (deg): 90.00 90.00 90.00
Space group I4_1/amd (No. 141, origin choice 2)
Unique sites:
Sr (0.0000, 0.2500, 0.3750) x4
Fe (0.0000, 0.2500, 0.8750) x4
Ge (0.0000, 0.0000, 0.0000) x8


Crystalline TaFeGe at its relaxed geometry, computed with PBE.

Results
**Magnetic moment**: 5.10 μB/cell
**Final energy**: -0.5690 Ry per atom
**Energy of formation from the pure elements**: 0.57 eV/atom

a b c (Å): 2.7108 2.7108 14.3042
angles (deg): 90.00 90.00 90.00
Space group I4mm (No. 107)
Unique sites:
Ta (0.0000, 0.0000, 0.0000) x2
Fe (0.0000, 0.0000, 0.8243) x2
Ge (0.0000, 0.0000, 0.6501) x2